[1]
Computed, not measured: a relaxed structure of ZrTaCoBi2 at the PBE level of DFT.

DOS(E_F)   7.126 states/eV/f.u.
Total energy   -5.45 eV per atom
Space group   P4/mmm (123)
Formation enthalpy at 0 K   1.6010 eV per atom

a = 5.567 Å, b = 5.567 Å, c = 5.033 Å
α = 90.00°, β = 90.00°, γ = 90.00°
Atoms (fractional coordinates):
Zr (0.000, 0.000, 0.000)
Ta (0.000, 0.000, 0.500)
Co (0.500, 0.500, 0.500)
Bi (0.000, 0.500, 0.000)
Bi (0.500, 0.000, 0.000)

---

[2]
Computed, not measured: a relaxed structure of La3CdAg3 at the PBE level of DFT.

DOS(E_F)   7.443 states/eV/f.u.
Total energy   -3.71 eV per atom
Space group   C2/m (12)
Formation enthalpy at 0 K   -0.2466 eV per atom

a = 6.196 Å, b = 6.196 Å, c = 15.211 Å
α = 106.28°, β = 106.28°, γ = 44.74°
Atoms (fractional coordinates):
La (0.034, 0.034, 0.388)
La (0.110, 0.110, 0.922)
La (0.235, 0.235, 0.228)
La (0.765, 0.765, 0.772)
La (0.890, 0.890, 0.078)
La (0.966, 0.966, 0.612)
Cd (0.259, 0.259, 0.607)
Cd (0.741, 0.741, 0.393)
Ag (0.373, 0.373, 0.453)
Ag (0.391, 0.391, 0.924)
Ag (0.480, 0.480, 0.767)
Ag (0.520, 0.520, 0.233)
Ag (0.609, 0.609, 0.076)
Ag (0.627, 0.627, 0.547)

---

[3]
Computed, not measured: a relaxed structure of PrSi2Ir4 at the PBE level of DFT.

Formation energy (no corrections)   -748 meV per atom
DOS(E_F)   3.930 states/eV/f.u.
Total energy   -8.04 eV per atom
Space group   P4_2/mnm (136)

a = 7.695 Å, b = 7.695 Å, c = 3.874 Å
α = 90.00°, β = 90.00°, γ = 90.00°
Atoms (fractional coordinates):
Pr (0.000, 0.000, 0.000)
Pr (0.500, 0.500, 0.500)
Si (0.228, 0.228, 0.500)
Si (0.272, 0.728, 0.000)
Si (0.728, 0.272, 0.000)
Si (0.772, 0.772, 0.500)
Ir (0.076, 0.663, 0.500)
Ir (0.163, 0.424, 0.000)
Ir (0.337, 0.924, 0.500)
Ir (0.424, 0.163, 0.000)
Ir (0.576, 0.837, 0.000)
Ir (0.663, 0.076, 0.500)
Ir (0.837, 0.576, 0.000)
Ir (0.924, 0.337, 0.500)

---

[4]
Computed, not measured: a relaxed structure of TaZn4Rh at the PBE level of DFT.

DOS(E_F)   2.537 states/eV/f.u.
Total energy   -4.09 eV per atom
Space group   F-43m (216)
Formation enthalpy at 0 K   -0.0420 eV per atom

a = 4.971 Å, b = 4.971 Å, c = 4.971 Å
α = 60.00°, β = 60.00°, γ = 60.00°
Atoms (fractional coordinates):
Ta (0.000, 0.000, 0.000)
Zn (0.124, 0.625, 0.625)
Zn (0.625, 0.124, 0.625)
Zn (0.625, 0.625, 0.124)
Zn (0.625, 0.625, 0.625)
Rh (0.250, 0.250, 0.250)

---

Which of these has the highest DOS(E_F)? La3CdAg3